DFT (PBE) results for Rb3In2Hg4 after structural relaxation.

abc: 5.302 7.288 10.365
angles: 111.23 90.00 111.33
Atoms (fractional coordinates):
Hg 0.115 0.229 0.416
Hg 0.733 0.465 0.074
Hg 0.885 0.771 0.584
Hg 0.267 0.535 0.926
Rb 0.000 0.000 0.000
Rb 0.383 0.766 0.312
Rb 0.617 0.234 0.688
In 0.674 0.347 0.335
In 0.326 0.653 0.665

Values from the calculation:
As for the volume: 38.19 A^3/atom. The value obtained for the density of states at the Fermi level is 3.81 states/eV/f.u. For the energy above the most stable polymorph in this dataset, the calculation gives 0.0 meV/atom.

=====

DFT (PBE) results for RbIn3Hg6 after structural relaxation.

abc: 6.412 8.748 6.433
angles: 110.69 107.22 100.43
Atoms (fractional coordinates):
Hg 0.343 0.019 0.721
Hg 0.898 0.975 0.326
Hg 0.823 0.294 0.717
Hg 0.055 0.646 0.223
Hg 0.221 0.537 0.657
Hg 0.371 0.404 0.039
Rb 0.756 0.750 0.668
In 0.803 0.272 0.178
In 0.339 0.228 0.374
In 0.391 0.875 0.097

Values from the calculation:
As for the volume: 30.55 A^3/atom. The value obtained for the density of states at the Fermi level is 3.97 states/eV/f.u. As for the final energy: -1.1673 eV/atom.

=====

DFT (PBE) results for RbInHg5 after structural relaxation.

abc: 5.856 5.856 7.762
angles: 90.01 90.01 113.85
Atoms (fractional coordinates):
Hg 0.000 0.500 0.285
Hg 0.000 0.000 0.500
Hg 0.500 0.000 0.285
Hg 0.500 0.000 0.715
Hg 0.000 0.500 0.715
Rb 0.000 0.000 0.000
In 0.500 0.500 0.500

Values from the calculation:
As for the volume: 34.78 A^3/atom. The value obtained for the density of states at the Fermi level is 3.46 states/eV/f.u. For the energy above the most stable polymorph in this dataset, the calculation gives 7.1 meV/atom.

=====

DFT (PBE) results for RbInHg4 after structural relaxation.

abc: 5.256 7.559 10.081
angles: 90.00 105.11 90.00
Atoms (fractional coordinates):
Hg 0.500 0.500 0.000
Hg 0.326 0.050 0.651
Hg 0.500 0.000 0.000
Hg 0.934 0.250 0.867
Hg 0.326 0.450 0.651
Hg 0.066 0.750 0.133
Hg 0.674 0.950 0.349
Hg 0.674 0.550 0.349
Rb 0.115 0.250 0.231
Rb 0.885 0.750 0.769
In 0.226 0.750 0.452
In 0.774 0.250 0.548

Values from the calculation:
As for the volume: 32.22 A^3/atom. The value obtained for the density of states at the Fermi level is 2.84 states/eV/f.u. For the energy above the most stable polymorph in this dataset, the calculation gives 0.2 meV/atom.